1.
Zr2TaS6 after structural relaxation. Source: Alexandria, functional PBE-GGA.

Unit cell a=7.428 b=7.428 c=9.120 alpha=110.99 beta=110.99 gamma=27.77
Fractional positions:
Zr (0.166, 0.166, 0.332)
Zr (0.834, 0.834, 0.668)
Ta (0.500, 0.500, 0.000)
S (0.127, 0.127, 0.030)
S (0.199, 0.199, 0.629)
S (0.472, 0.472, 0.715)
S (0.528, 0.528, 0.285)
S (0.801, 0.801, 0.371)
S (0.873, 0.873, 0.970)

Properties
DOS(E_F) ... 2.8 states/eV/f.u.
Energy above the most stable polymorph in this dataset ... 0 meV per atom
E ... -7.299 eV/atom
Total magnetization ... 0.0 μB per formula unit

***

2.
CsCu3Pd after structural relaxation. Source: Alexandria, functional PBE-GGA.

Unit cell a=5.241 b=5.241 c=5.241 alpha=90.00 beta=90.00 gamma=90.00
Fractional positions:
Cs (0.000, 0.000, 0.000)
Cu (0.000, 0.000, 0.500)
Cu (0.000, 0.500, 0.000)
Cu (0.500, 0.000, 0.000)
Pd (0.500, 0.500, 0.500)

Properties
DOS(E_F) ... 11.7 states/eV/f.u.
Energy above the most stable polymorph in this dataset ... 1502 meV per atom
E ... -1.633 eV/atom
E_form ... 2033.7 meV/atom
Total magnetization ... 0.0 μB per formula unit

***

3.
BeCdAu3 after structural relaxation. Source: Alexandria, functional PBE-GGA.

Unit cell a=5.162 b=5.162 c=5.162 alpha=90.00 beta=90.00 gamma=90.00
Fractional positions:
Be (0.000, 0.000, 0.000)
Cd (0.500, 0.500, 0.500)
Au (0.000, 0.500, 0.500)
Au (0.500, 0.000, 0.500)
Au (0.500, 0.500, 0.000)

Properties
DOS(E_F) ... 2.9 states/eV/f.u.
Energy above the most stable polymorph in this dataset ... 1261 meV per atom
E ... -1.765 eV/atom
E_form ... 1129.8 meV/atom
Total magnetization ... 0.0 μB per formula unit

***

4.
K2NaLuCl6 after structural relaxation. Source: Alexandria, functional PBE-GGA.

Unit cell a=7.496 b=7.496 c=7.496 alpha=60.00 beta=60.00 gamma=60.00
Fractional positions:
K (0.250, 0.250, 0.250)
K (0.750, 0.750, 0.750)
Na (0.000, 0.000, 0.000)
Lu (0.500, 0.500, 0.500)
Cl (0.258, 0.258, 0.742)
Cl (0.258, 0.742, 0.258)
Cl (0.258, 0.742, 0.742)
Cl (0.742, 0.258, 0.258)
Cl (0.742, 0.258, 0.742)
Cl (0.742, 0.742, 0.258)

Properties
DOS(E_F) ... 0.0 states/eV/f.u.
E ... -3.980 eV/atom
Total magnetization ... 0.0 μB per formula unit

***

5.
TbAlAu after structural relaxation. Source: Alexandria, functional PBE-GGA.

Unit cell a=7.195 b=4.309 c=12.354 alpha=90.00 beta=90.41 gamma=90.00
Fractional positions:
Tb (0.005, 0.250, 0.373)
Tb (0.147, 0.250, 0.082)
Tb (0.490, 0.750, 0.702)
Tb (0.510, 0.250, 0.298)
Tb (0.853, 0.750, 0.918)
Tb (0.995, 0.750, 0.627)
Al (0.159, 0.250, 0.797)
Al (0.334, 0.750, 0.456)
Al (0.486, 0.750, 0.089)
Al (0.514, 0.250, 0.911)
Al (0.666, 0.250, 0.544)
Al (0.841, 0.750, 0.203)
Au (0.220, 0.750, 0.247)
Au (0.278, 0.750, 0.910)
Au (0.282, 0.250, 0.571)
Au (0.718, 0.750, 0.429)
Au (0.722, 0.250, 0.090)
Au (0.780, 0.250, 0.753)

Properties
DOS(E_F) ... 1.8 states/eV/f.u.
E ... -4.654 eV/atom
E_form ... -770.3 meV/atom
Total magnetization ... 0.0 μB per formula unit

***

6.
CuTc3Ru after structural relaxation. Source: Alexandria, functional PBE-GGA.

Unit cell a=4.371 b=4.371 c=4.371 alpha=90.00 beta=90.00 gamma=90.00
Fractional positions:
Cu (0.000, 0.000, 0.000)
Tc (0.000, 0.000, 0.500)
Tc (0.000, 0.500, 0.000)
Tc (0.500, 0.000, 0.000)
Ru (0.500, 0.500, 0.500)

Properties
DOS(E_F) ... 5.8 states/eV/f.u.
Energy above the most stable polymorph in this dataset ... 0 meV per atom
E ... -7.119 eV/atom
E_form ... 1775.0 meV/atom
Total magnetization ... 0.0 μB per formula unit

***

7.
PmCu2Au10 after structural relaxation. Source: Alexandria, functional PBE-GGA.

Unit cell a=9.443 b=7.299 c=7.122 alpha=81.80 beta=49.91 gamma=48.29
Fractional positions:
Pm (0.000, 0.000, 0.000)
Cu (0.000, 0.000, 0.500)
Cu (0.500, 0.500, 0.000)
Au (0.000, 0.500, 0.000)
Au (0.015, 0.660, 0.340)
Au (0.286, 0.508, 0.492)
Au (0.340, 0.985, 0.015)
Au (0.492, 0.714, 0.286)
Au (0.500, 0.000, 0.500)
Au (0.508, 0.286, 0.714)
Au (0.660, 0.015, 0.985)
Au (0.714, 0.492, 0.508)
Au (0.985, 0.340, 0.660)

Properties
DOS(E_F) ... 5.2 states/eV/f.u.
E ... -3.732 eV/atom
E_form ... -215.6 meV/atom
Total magnetization ... 0.0 μB per formula unit

***

8.
CeHoHf2 after structural relaxation. Source: Alexandria, functional PBE-GGA.

Unit cell a=4.648 b=4.648 c=4.736 alpha=90.00 beta=90.00 gamma=90.00
Fractional positions:
Ce (0.000, 0.000, 0.000)
Ho (0.500, 0.500, 0.000)
Hf (0.000, 0.500, 0.500)
Hf (0.500, 0.000, 0.500)

Properties
DOS(E_F) ... 6.0 states/eV/f.u.
Energy above the most stable polymorph in this dataset ... 0 meV per atom
E ... -7.425 eV/atom
E_form ... 180.0 meV/atom
Total magnetization ... 0.0 μB per formula unit

***

9.
CsPdO3 after structural relaxation. Source: Alexandria, functional PBE-GGA.

Unit cell a=4.351 b=4.351 c=4.351 alpha=90.00 beta=90.00 gamma=90.00
Fractional positions:
Cs (0.000, 0.000, 0.000)
Pd (0.500, 0.500, 0.500)
O (0.000, 0.000, 0.500)
O (0.000, 0.500, 0.000)
O (0.500, 0.000, 0.000)

Properties
DOS(E_F) ... 7.5 states/eV/f.u.
E ... -3.026 eV/atom
Total magnetization ... 1.2 μB per formula unit

***

10.
La2Zr2Sc after structural relaxation. Source: Alexandria, functional PBE-GGA.

Unit cell a=8.128 b=8.128 c=4.428 alpha=90.00 beta=90.00 gamma=90.00
Fractional positions:
La (0.162, 0.338, 0.000)
La (0.338, 0.838, 0.000)
La (0.662, 0.162, 0.000)
La (0.838, 0.662, 0.000)
Zr (0.135, 0.635, 0.500)
Zr (0.365, 0.135, 0.500)
Zr (0.635, 0.865, 0.500)
Zr (0.865, 0.365, 0.500)
Sc (0.000, 0.000, 0.500)
Sc (0.500, 0.500, 0.500)

Properties
DOS(E_F) ... 3.9 states/eV/f.u.
E ... -6.384 eV/atom
E_form ... 272.6 meV/atom
Total magnetization ... 0.0 μB per formula unit

***

11.
BeAg3I after structural relaxation. Source: Alexandria, functional PBE-GGA.

Unit cell a=5.512 b=5.512 c=5.512 alpha=90.00 beta=90.00 gamma=90.00
Fractional positions:
Be (0.000, 0.000, 0.000)
Ag (0.000, 0.500, 0.500)
Ag (0.500, 0.000, 0.500)
Ag (0.500, 0.500, 0.000)
I (0.500, 0.500, 0.500)

Properties
DOS(E_F) ... 1.3 states/eV/f.u.
Energy above the most stable polymorph in this dataset ... 772 meV per atom
E ... -1.506 eV/atom
Total magnetization ... 0.0 μB per formula unit

***

12.
NaZnN after structural relaxation. Source: Alexandria, functional PBE-GGA.

Unit cell a=9.277 b=9.277 c=3.617 alpha=100.12 beta=100.12 gamma=19.22
Fractional positions:
Na (0.097, 0.097, 0.131)
Na (0.903, 0.903, 0.869)
Zn (0.278, 0.278, 0.276)
Zn (0.722, 0.722, 0.724)
N (0.477, 0.477, 0.361)
N (0.523, 0.523, 0.639)

Properties
DOS(E_F) ... 1.2 states/eV/f.u.
E ... -3.610 eV/atom
Total magnetization ... 0.0 μB per formula unit